(1)
Y3Mg2Cu2 | PBE | optimized geometry

Cell and atoms, written as POSCAR:
```
Y3Mg2Cu2
1.0
8.6053 -0.0295 -0.0137
7.9132 3.3812 -0.0137
8.0097 1.6252 11.5844
Y Mg Cu
6 4 4
Direct
0.8690 0.8690 0.1059
0.1310 0.1310 0.8941
0.8376 0.8376 0.8791
0.1624 0.1624 0.1209
0.6874 0.6874 0.4567
0.3126 0.3126 0.5433
0.9277 0.9277 0.2930
0.0723 0.0723 0.7070
0.5518 0.5518 0.3657
0.4482 0.4482 0.6343
0.7883 0.7883 0.7168
0.2117 0.2117 0.2832
0.5282 0.5282 0.0979
0.4718 0.4718 0.9021
```

=====

(2)
YMg3Cu | PBE | optimized geometry

Cell and atoms, written as POSCAR:
```
YMg3Cu
1.0
4.3285 0.0000 0.0000
0.0000 6.8950 -2.6507
0.0000 -0.0418 7.3869
Y Mg Cu
2 6 2
Direct
0.5000 0.7080 0.2920
0.5000 0.2920 0.7080
0.5000 0.0000 0.0000
0.0000 0.0659 0.3250
0.0000 0.9341 0.6750
0.0000 0.6750 0.9341
0.0000 0.5000 0.5000
0.0000 0.3250 0.0659
0.5000 0.3130 0.3130
0.5000 0.6870 0.6870
```

=====

(3)
Y2Mg4Cu | PBE | optimized geometry

Cell and atoms, written as POSCAR:
```
Y2Mg4Cu
1.0
-1.2851 -7.2793 -1.2131
-4.2191 6.1525 0.6766
3.2018 1.6243 -6.5743
Y Mg Cu
2 4 1
Direct
0.2500 0.7500 0.5000
0.7500 0.2500 0.5000
0.5000 0.2942 0.7942
0.5000 0.7058 0.2058
0.2942 0.5000 0.7942
0.7058 0.5000 0.2058
0.0000 0.0000 0.0000
```

=====

Per-record energy of formation from the pure elements, eV/atom: -0.03; -0.13; 1.02
Per-record M_tot, μB per formula unit: 0.0; 0.0; 0.0